1) Density functional theory data (PBE) for CeYTl2 after structural relaxation.

abc: 3.569 3.569 8.829
angles: 90.00 90.00 90.00
Space group P4/mmm (No. 123)
Symmetry-distinct sites (fractional):
Ce1 0.000 0.000 0.000
Y1 0.000 0.000 0.500
Tl1 0.500 0.500 0.256

Summary:
Mass density: 9.42 Mg/m³

***

2) Density functional theory data (PBE) for CeYTl2 after structural relaxation.

abc: 7.707 7.707 7.707
angles: 90.00 90.00 90.00
Space group Fm-3m (No. 225)
Symmetry-distinct sites (fractional):
Ce1 0.000 0.000 0.000
Y1 0.000 0.000 0.500
Tl1 0.250 0.250 0.250

Summary:
Mass density: 9.25 Mg/m³

***

3) Density functional theory data (PBE) for CeYTl2 after structural relaxation.

abc: 3.7152 3.7152 30.2127
angles: 90.00 90.00 120.00
Space group R-3m (No. 166, hexagonal axes)
Symmetry-distinct sites (fractional):
Ce1 0.0000 0.0000 0.0000
Y1 0.0000 0.0000 0.5000
Tl1 0.0000 0.0000 0.2476

Summary:
Mass density: 8.80 Mg/m³

***

Preferred: 1); penalty for the next structure: 10 meV per atom.

***

1) Density functional theory data (PBE) for CeY2Tl4 after structural relaxation.

abc: 5.272 5.272 7.703
angles: 90.00 90.00 90.00
Space group P4/mmm (No. 123)
Symmetry-distinct sites (fractional):
Ce1 0.000 0.000 0.000
Y1 0.000 0.000 0.500
Y2 0.500 0.500 0.000
Tl1 0.000 0.500 0.272

Summary:
Mass density: 8.81 Mg/m³

***

2) Density functional theory data (PBE) for CeY2Tl4 after structural relaxation.

abc: 4.9344 4.9344 30.3393
angles: 90.00 90.00 120.00
Space group R-3m (No. 166, hexagonal axes)
Symmetry-distinct sites (fractional):
Ce1 0.0000 0.0000 0.0000
Y1 0.0000 0.0000 0.1292
Tl1 0.0000 0.0000 0.2431
Tl2 0.0000 0.0000 0.3844

Summary:
Mass density: 8.84 Mg/m³

***

Preferred: 1); penalty for the next structure: 77 meV per atom.